Record 1
# BaVPt3

A geometry-optimized BaVPt3 structure (GGA-PBE, Alexandria).

Its total energy is -3.943 eV/atom. Its energy above the most stable polymorph in this dataset is 2031 meV/atom.

It has space group Pm-3m (No. 221), with a = 5.330 Å, b = 5.330 Å, c = 5.330 Å, α = 90.00°, β = 90.00° and γ = 90.00°. The inequivalent atoms are Ba at (0.000, 0.000, 0.000), V at (0.500, 0.500, 0.500) and Pt at (0.000, 0.000, 0.500).


Record 2
# CsHgTe3

A geometry-optimized CsHgTe3 structure (GGA-PBE, Alexandria).

Its total energy is -2.426 eV/atom. Its energy above the most stable polymorph in this dataset is 0 meV/atom. The raw formation energy is -0.31 eV/atom.

It has space group R3m (No. 160, hexagonal axes), with a = 6.1907 Å, b = 6.1907 Å, c = 20.4042 Å, α = 90.00°, β = 90.00° and γ = 120.00°. The inequivalent atoms are Cs at (0.0000, 0.0000, 0.0000), Hg at (0.0000, 0.0000, 0.3765) and Te at (0.0006, 0.5003, 0.8617).


Record 3
# CeHoInSn

A geometry-optimized CeHoInSn structure (GGA-PBE, Alexandria).

Its total energy is -4.780 eV/atom. Its energy above the most stable polymorph in this dataset is 37 meV/atom.

It has space group F-43m (No. 216), with a = 7.613 Å, b = 7.613 Å, c = 7.613 Å, α = 90.00°, β = 90.00° and γ = 90.00°. The inequivalent atoms are Ce at (0.000, 0.000, 0.000), Ho at (0.000, 0.000, 0.500), In at (0.250, 0.250, 0.250) and Sn at (0.250, 0.250, 0.750).


Record 4
# NaSr2Pt

A geometry-optimized NaSr2Pt structure (GGA-PBE, Alexandria).

Its total energy is -2.956 eV/atom.

It has space group I-42d (No. 122), with a = 10.735 Å, b = 10.735 Å, c = 5.781 Å, α = 90.00°, β = 90.00° and γ = 90.00°. The inequivalent atoms are Na at (0.000, 0.000, 0.000), Sr at (0.097, 0.250, 0.625) and Pt at (0.000, 0.000, 0.500).